Record 1
## ZnHg2Au (GGA-PBE)

Data for a relaxed ZnHg2Au crystal.

Structure (POSCAR):
```
ZnHg2Au
1.0
1.585 -2.763 0.000
1.585 2.763 0.000
0.000 0.000 9.434
Zn Hg Au
1 2 1
direct
0.000 0.000 0.000
0.500 0.500 0.243
0.500 0.500 0.757
0.000 0.000 0.500
```

Summary:
The value obtained for the electronic total energy is -1.133 eV per atom. Its space group is Cmmm, No. 65.

***

Record 2
## CsRb2TbI6 (GGA-PBE)

Data for a relaxed CsRb2TbI6 crystal.

Structure (POSCAR):
```
CsRb2TbI6
1.0
4.537 2.619 7.862
-4.537 2.619 7.862
0.000 -5.238 7.862
Cs Rb Tb I
1 2 1 6
direct
0.000 0.000 0.000
0.286 0.286 0.286
0.799 0.799 0.799
0.490 0.490 0.490
0.148 0.683 0.401
0.264 0.595 0.826
0.401 0.148 0.683
0.595 0.826 0.264
0.683 0.401 0.148
0.826 0.264 0.595
```

Summary:
Its space group is R3, No. 146. The value obtained for the uncorrected formation energy is -14.74 eV/f.u.

***

Record 3
## TbNd5Ho2 (GGA-PBE)

Data for a relaxed TbNd5Ho2 crystal.

Structure (POSCAR):
```
TbNd5Ho2
1.0
7.246 0.000 0.000
0.000 14.499 0.000
0.000 0.000 5.132
Tb Nd Ho
2 10 4
direct
0.000 0.000 0.000
0.500 0.500 0.000
0.000 0.500 0.000
0.001 0.249 0.000
0.249 0.876 0.500
0.251 0.376 0.500
0.499 0.749 0.000
0.500 0.000 0.000
0.501 0.251 0.000
0.749 0.624 0.500
0.751 0.124 0.500
0.999 0.751 0.000
0.250 0.124 0.500
0.250 0.624 0.500
0.750 0.376 0.500
0.750 0.876 0.500
```

Summary:
The excess energy over the best structure of this formula in the dataset is 0.000 eV/atom. Its space group is Pbam, No. 55.

***

Record 4
## K2RbTe2 (GGA-PBE)

Data for a relaxed K2RbTe2 crystal.

Structure (POSCAR):
```
K2RbTe2
1.0
-3.205 3.205 5.757
3.205 -3.205 5.757
3.205 3.205 -5.757
K Rb Te
2 1 2
direct
0.157 0.157 0.000
0.843 0.843 0.000
0.500 0.500 0.000
0.250 0.750 0.500
0.750 0.250 0.500
```

Summary:
The excess energy over the best structure of this formula in the dataset is 0.214 eV/atom. Its space group is I4/mmm, No. 139. The value obtained for the uncorrected formation energy is -3.43 eV/f.u.

***

Record 5
## CaLa2MgH (GGA-PBE)

Data for a relaxed CaLa2MgH crystal.

Structure (POSCAR):
```
CaLa2MgH
1.0
6.489 0.000 0.000
0.000 6.489 0.000
0.000 0.000 3.789
Ca La Mg H
1 2 1 1
direct
0.000 0.000 0.000
0.000 0.500 0.500
0.500 0.000 0.500
0.500 0.500 0.500
0.500 0.500 0.000
```

Summary:
The excess energy over the best structure of this formula in the dataset is 0.658 eV/atom. Its space group is P4/mmm, No. 123.

***

Record 6
## CsIn2Br6 (GGA-PBE)

Data for a relaxed CsIn2Br6 crystal.

Structure (POSCAR):
```
CsIn2Br6
1.0
8.407 -6.943 0.000
8.407 6.943 0.000
-3.861 0.000 7.901
Cs In Br
2 4 12
direct
0.160 0.840 0.750
0.840 0.160 0.250
0.194 0.369 0.827
0.369 0.194 0.327
0.631 0.806 0.673
0.806 0.631 0.173
0.045 0.584 0.835
0.050 0.175 0.686
0.175 0.050 0.186
0.348 0.352 0.632
0.352 0.348 0.132
0.416 0.955 0.665
0.584 0.045 0.335
0.648 0.652 0.868
0.652 0.648 0.368
0.825 0.950 0.814
0.950 0.825 0.314
0.955 0.416 0.165
```

Summary:
Its space group is C2/c, No. 15. The value obtained for the uncorrected formation energy is -8.68 eV/f.u.

***

Record 7
## KCeMg2Cl8 (GGA-PBE)

Data for a relaxed KCeMg2Cl8 crystal.

Structure (POSCAR):
```
KCeMg2Cl8
1.0
6.521 0.000 0.000
1.131 6.424 0.000
1.483 1.331 8.790
K Ce Mg Cl
1 1 2 8
direct
0.000 0.000 0.000
0.000 0.000 0.500
0.460 0.455 0.207
0.540 0.545 0.793
0.196 0.741 0.734
0.233 0.781 0.273
0.295 0.265 0.448
0.344 0.318 0.010
0.656 0.682 0.990
0.705 0.735 0.552
0.767 0.219 0.727
0.804 0.259 0.266
```

Summary:
Its space group is P-1, No. 2. The value obtained for the uncorrected formation energy is -23.32 eV/f.u.

***

Record 8
## Ce3PmNd2Bi6 (GGA-PBE)

Data for a relaxed Ce3PmNd2Bi6 crystal.

Structure (POSCAR):
```
Ce3PmNd2Bi6
1.0
3.985 -6.902 0.000
3.985 6.902 0.000
-2.657 0.000 7.512
Ce Pm Nd Bi
3 1 2 6
direct
0.000 0.000 0.000
0.333 0.667 0.000
0.667 0.333 0.000
0.500 0.500 0.500
0.166 0.834 0.500
0.834 0.166 0.500
0.084 0.416 0.249
0.252 0.252 0.752
0.416 0.084 0.249
0.584 0.916 0.751
0.748 0.748 0.248
0.916 0.584 0.751
```

Summary:
The value obtained for the electronic total energy is -5.488 eV per atom. Its space group is C2/m, No. 12.

***

Record 9
## PmInSn2Br8 (GGA-PBE)

Data for a relaxed PmInSn2Br8 crystal.

Structure (POSCAR):
```
PmInSn2Br8
1.0
6.899 0.000 0.000
0.000 9.130 0.000
-0.128 0.000 7.274
Pm In Sn Br
1 1 2 8
direct
0.000 0.000 0.000
0.000 0.500 0.000
0.500 0.254 0.500
0.500 0.746 0.500
0.241 0.226 0.162
0.241 0.774 0.162
0.247 0.000 0.679
0.278 0.500 0.641
0.722 0.500 0.359
0.753 0.000 0.321
0.759 0.226 0.838
0.759 0.774 0.838
```

Summary:
Its space group is P2/m, No. 10. The value obtained for the uncorrected formation energy is -13.15 eV/f.u.

***

Record 10
## ScAsRu2 (GGA-PBE)

Data for a relaxed ScAsRu2 crystal.

Structure (POSCAR):
```
ScAsRu2
1.0
-3.579 3.579 2.765
3.579 -3.579 2.765
3.579 3.579 -2.765
Sc As Ru
2 2 4
direct
0.000 0.000 0.000
0.750 0.250 0.500
0.250 0.750 0.500
0.500 0.500 0.000
0.193 0.625 0.068
0.375 0.443 0.568
0.557 0.125 0.932
0.875 0.807 0.432
```

Summary:
The value obtained for the electronic total energy is -7.418 eV per atom. Its space group is I-42d, No. 122.